DyMg2: relaxed, PBE.

abc: 5.175 5.175 5.175
angles: 60.00 60.00 60.00
Atoms (fractional coordinates):
Dy (0.000, 0.000, 0.000)
Mg (0.250, 0.250, 0.250)
Mg (0.750, 0.750, 0.750)

Summary:
SG ... No. 225
Electronic total energy ... -1.997 eV per atom
Total moment ... 0.008 μB/atom

TlAgSnS3: relaxed, PBE.

abc: 14.251 3.895 10.929
angles: 90.00 90.00 90.00
Atoms (fractional coordinates):
Tl (0.221, 0.250, 0.022)
Tl (0.279, 0.750, 0.522)
Tl (0.721, 0.250, 0.478)
Tl (0.779, 0.750, 0.978)
Ag (0.037, 0.750, 0.923)
Ag (0.463, 0.250, 0.423)
Ag (0.537, 0.750, 0.577)
Ag (0.963, 0.250, 0.077)
Sn (0.013, 0.250, 0.651)
Sn (0.487, 0.750, 0.151)
Sn (0.513, 0.250, 0.849)
Sn (0.987, 0.750, 0.349)
S (0.087, 0.750, 0.153)
S (0.096, 0.250, 0.440)
S (0.123, 0.750, 0.723)
S (0.377, 0.250, 0.223)
S (0.404, 0.750, 0.940)
S (0.413, 0.250, 0.653)
S (0.587, 0.750, 0.347)
S (0.596, 0.250, 0.060)
S (0.623, 0.750, 0.777)
S (0.877, 0.250, 0.277)
S (0.904, 0.750, 0.560)
S (0.913, 0.250, 0.847)

Summary:
SG ... No. 62
Electronic total energy ... -3.886 eV per atom

NpFe3: relaxed, PBE.

abc: 4.194 4.194 4.194
angles: 60.00 60.00 60.00
Atoms (fractional coordinates):
Np (0.000, 0.000, 0.000)
Fe (0.250, 0.250, 0.250)
Fe (0.500, 0.500, 0.500)
Fe (0.750, 0.750, 0.750)

Summary:
SG ... No. 225
ΔH_f (0 K) ... 415 meV per atom
Total moment ... 0.004 μB/atom

NaDyB4: relaxed, PBE.

abc: 3.192 3.192 8.055
angles: 90.00 90.00 120.00
Atoms (fractional coordinates):
Na (0.000, 0.000, 0.000)
Dy (0.000, 0.000, 0.500)
B (0.333, 0.667, 0.262)
B (0.333, 0.667, 0.738)
B (0.667, 0.333, 0.262)
B (0.667, 0.333, 0.738)

Summary:
SG ... No. 191
Electronic total energy ... -5.503 eV per atom
Total moment ... 0.001 μB/atom